# 1
This record from the Alexandria database describes a geometry-optimized Cs3K7Hg2 structure. The functional is GGA-PBE.

It has space group Cmmm (No. 65), with a = 6.288 Å, b = 39.295 Å, c = 6.643 Å, α = 90.00°, β = 90.00° and γ = 90.00°. The distinct sites, in fractional coordinates, are Cs at (0.000, 0.000, 0.000), Cs at (0.000, 0.197, 0.500), K at (0.000, 0.091, 0.500), K at (0.000, 0.299, 0.000), K at (0.000, 0.405, 0.000), K at (0.000, 0.500, 0.500) and Hg at (0.000, 0.141, 0.000).

Its energy relative to the elements is -0.0546 eV per atom.

# 2
This record from the Alexandria database describes a geometry-optimized Cs2KHg8 structure. The functional is GGA-PBE.

It has space group C2/m (No. 12), with a = 7.159 Å, b = 20.560 Å, c = 6.484 Å, α = 90.00°, β = 122.07° and γ = 90.00°. The distinct sites, in fractional coordinates, are Cs at (0.000, 0.154, 0.000), K at (0.000, 0.000, 0.500), Hg at (0.000, 0.249, 0.500), Hg at (0.128, 0.500, 0.790) and Hg at (0.136, 0.365, 0.285).

Its energy relative to the elements is -0.2172 eV per atom.

# 3
This record from the Alexandria database describes a geometry-optimized Cs2KHg structure. The functional is GGA-PBE.

It has space group Cm (No. 8), with a = 8.976 Å, b = 5.225 Å, c = 13.044 Å, α = 90.00°, β = 102.61° and γ = 90.00°. The distinct sites, in fractional coordinates, are Cs at (0.000, 0.000, 0.000), Cs at (0.211, 0.000, 0.629), K at (0.272, 0.500, 0.314) and Hg at (0.106, 0.500, 0.815).

Its energy relative to the elements is -0.0810 eV per atom.

# 4
This record from the Alexandria database describes a geometry-optimized Cs2KHg structure. The functional is GGA-PBE.

It has space group Pmmn (No. 59, origin choice 2), with a = 5.069 Å, b = 12.634 Å, c = 8.800 Å, α = 90.00°, β = 90.00° and γ = 90.00°. The distinct sites, in fractional coordinates, are Cs at (0.250, 0.063, 0.221), K at (0.250, 0.250, 0.703) and Hg at (0.250, 0.750, 0.003).

Its energy relative to the elements is -0.1132 eV per atom.